The following is a PBE with a Hubbard U calculation of an optimized crystal structure of Ca2MnBO5, from Alexandria.

## Properties
Its total DFT energy (no corrections) is -7.03 eV per atom. As for the calculated density: 3.822 g/cm3. Its space-group type is Cmc2_1 (36).

Unit cell a=6.7592 b=6.7592 c=9.8438 alpha=90.00 beta=90.00 gamma=154.12
Last column: nearest neighbours and their distance in Å.
Sites, in units of the cell vectors:
Ca: 0.1104 0.8896 0.5000  5 O 2.27-2.45
Ca: 0.1375 0.8625 0.1591  7 O 2.36-2.61
Ca: 0.8625 0.1375 0.6591  7 O 2.36-2.61
Ca: 0.8896 0.1104 0.0000  5 O 2.27-2.45
Mn: 0.1971 0.8029 0.8668  6 O 1.89-2.07
Mn: 0.8029 0.1971 0.3668  6 O 1.89-2.07
B: 0.4379 0.5621 0.2475  2 O 1.38-1.45
B: 0.5621 0.4379 0.7475  2 O 1.38-1.45
O: 0.0451 0.9549 0.8364  2 B 1.76
O: 0.2947 0.7053 0.4979  2 Mn 1.99
O: 0.3291 0.6709 0.2283  1 B 1.45
O: 0.3396 0.6604 0.8411  1 Mn 1.89
O: 0.4971 0.5029 0.1318  1 B 1.38
O: 0.5029 0.4971 0.6318  1 B 1.38
O: 0.6604 0.3396 0.3411  1 Mn 1.89
O: 0.6709 0.3291 0.7283  1 B 1.45
O: 0.7053 0.2947 0.9979  2 Mn 1.99
O: 0.9549 0.0451 0.3364  2 B 1.76